# 1
This record from Alexandria via LeMat-Bulk describes NaReI2 after structural relaxation. The functional is PBE.

abc: 9.0970 9.0970 7.1500
angles: 50.49 50.49 90.00
Closest atoms and distances in Å follow each position.
Fractional coordinates of all 8 atoms:
I 0.3750 0.2403 0.7500  2 Re 2.62
Na 0.2500 0.7500 0.5000  2 Re 3.12, 4 I 3.43
I 0.8750 0.0097 0.7500  2 Re 2.62
I 0.9903 0.6250 0.2500  2 Re 2.62
Re 0.0000 0.0000 0.0000  4 I 2.62
Na 0.5000 0.5000 0.0000  2 Re 3.12, 4 I 3.43
I 0.7597 0.1250 0.2500  2 Re 2.62
Re 0.7500 0.2500 0.5000  4 I 2.62

Summary:
* raw formation energy: 1.84 eV per formula unit
* total moment: 0.0 μB per cell
* uncorrected energy: -3.76 eV/atom
* space-group type: I-42d, No. 122

---

# 2
This record from Alexandria via LeMat-Bulk describes Pr2ErTl after structural relaxation. The functional is PBE.

abc: 6.2300 8.1245 10.0508
angles: 89.99 90.00 90.00
Closest atoms and distances in Å follow each position.
Fractional coordinates of all 16 atoms:
Pr 0.2500 0.0758 0.0592  4 Er 3.32-3.66, 2 Pr 3.55-3.56, 2 Tl 3.62
Pr 0.7500 0.9242 0.9408  4 Er 3.32-3.66, 2 Pr 3.55-3.56, 2 Tl 3.62
Tl 0.0002 0.7498 0.2506  2 Tl 3.12, 2 Er 3.18
Er 0.7504 0.0911 0.2501  2 Tl 3.18, 4 Pr 3.32-3.39
Er 0.2496 0.9089 0.7499  2 Tl 3.18, 4 Pr 3.32-3.39
Pr 0.2500 0.5758 0.5592  4 Er 3.32-3.66, 2 Pr 3.55-3.56, 2 Tl 3.62
Pr 0.7496 0.9242 0.5591  4 Er 3.32-3.66, 2 Pr 3.55-3.56, 2 Tl 3.62
Tl 0.9998 0.2502 0.7494  2 Tl 3.12, 2 Er 3.18
Pr 0.2496 0.5758 0.9409  4 Er 3.32-3.66, 2 Pr 3.55-3.56, 2 Tl 3.62
Pr 0.2504 0.0758 0.4409  4 Er 3.32-3.66, 2 Pr 3.55-3.56, 2 Tl 3.62
Pr 0.7504 0.4242 0.0591  4 Er 3.32-3.66, 2 Pr 3.55-3.56, 2 Tl 3.62
Tl 0.4998 0.2498 0.7506  2 Tl 3.12, 2 Er 3.18
Er 0.2504 0.4089 0.2499  2 Tl 3.18, 4 Pr 3.32-3.39
Pr 0.7500 0.4242 0.4408  4 Er 3.32-3.66, 2 Pr 3.55-3.56, 2 Tl 3.62
Er 0.7496 0.5911 0.7501  2 Tl 3.18, 4 Pr 3.32-3.39
Tl 0.5002 0.7502 0.2494  2 Tl 3.12, 2 Er 3.18

Summary:
* energy of formation: -0.1133 eV/atom
* total moment: 0.0 μB per cell
* uncorrected energy: -4.24 eV/atom
* space-group type: P2_1/c, No. 14

---

# 3
This record from Alexandria via LeMat-Bulk describes Zn2PCl after structural relaxation. The functional is PBE.

abc: 3.5943 3.5943 7.0134
angles: 90.00 90.00 118.05
Closest atoms and distances in Å follow each position.
Fractional coordinates of all 4 atoms:
Cl 0.5000 0.5000 0.2500  4 Zn 2.72
Zn 0.0000 0.0000 0.9657  2 P 2.39
Zn 0.0000 0.0000 0.5343  2 P 2.39
P 0.5000 0.5000 0.7500  4 Zn 2.39

Summary:
* raw formation energy: -0.15 eV per formula unit
* total moment: 0.0 μB per cell
* uncorrected energy: -2.49 eV/atom
* space-group type: Cmmm, No. 65